This record from Alexandria describes a relaxed structure of MnPdF4. The functional is PBE+U.

POSCAR file:
```
MnPdF4
1.0
4.7950 0.0000 -2.4519
-1.2538 4.6282 -2.4519
0.2974 0.3886 6.4961
Mn Pd F
2 2 8
direct
0.7500 0.7500 0.5000 Mn
0.2500 0.2500 0.5000 Mn
0.0000 0.5000 0.0000 Pd
0.5000 0.0000 0.0000 Pd
0.8215 0.9583 0.2798 F
0.5417 0.6785 0.7202 F
0.1785 0.0417 0.7202 F
0.6785 0.1785 0.7202 F
0.4583 0.3215 0.2798 F
0.9583 0.4583 0.2798 F
0.3215 0.8215 0.2798 F
0.0417 0.5417 0.7202 F
```

Properties
spin magnetization = 4.9 μB per formula unit
E_tot = -5.222 eV/atom